Below is an optimized crystal structure of LiScReTc, with properties calculated at the GGA-PBE level.

- Energy: -31.09 eV for the cell shown
- Space-group type: F-43m (216)
- Distance to the lowest polymorph of the same formula: 0.00 kcal/mol of atoms
- Theoretical density: 9196 kg/m3

Unit cell a=4.4112 b=4.4112 c=4.4112 alpha=60.00 beta=60.00 gamma=60.00
Fractional coordinates of all 4 atoms:
Re 0.2500 0.2500 0.2500
Tc 0.0000 0.0000 0.0000
Li 0.7500 0.7500 0.7500
Sc 0.5000 0.5000 0.5000



Below is an optimized crystal structure of LiRe3Se5, with properties calculated at the GGA-PBE level.

- Energy: -55.34 eV for the cell shown
- Space-group type: P6/mmm (191)
- Theoretical density: 7689 kg/m3

Unit cell a=5.7436 b=5.7436 c=7.2594 alpha=90.00 beta=90.00 gamma=120.00
Fractional coordinates of all 9 atoms:
Se 0.0000 0.0000 0.5000
Se 0.6667 0.3333 0.2375
Se 0.6667 0.3333 0.7625
Se 0.3333 0.6667 0.2375
Se 0.3333 0.6667 0.7625
Re 0.5000 0.5000 0.5000
Re 0.0000 0.5000 0.5000
Re 0.5000 0.0000 0.5000
Li 0.0000 0.0000 0.0000



Below is an optimized crystal structure of LiRe3Si2, with properties calculated at the GGA-PBE level.

- Energy: -100.01 eV for the cell shown
- Space-group type: Cmc2_1 (36)
- Theoretical density: 12495 kg/m3

Unit cell a=7.1534 b=7.1534 c=4.8580 alpha=90.00 beta=90.00 gamma=41.66
Fractional coordinates of all 12 atoms:
Si 0.4353 0.8476 0.4375
Si 0.5647 0.1524 0.9375
Si 0.8476 0.4353 0.9375
Si 0.1524 0.5647 0.4375
Re 0.3670 0.9952 0.9350
Re 0.0048 0.6330 0.9350
Re 0.9952 0.3670 0.4350
Re 0.6330 0.0048 0.4350
Re 0.5206 0.4794 0.2181
Re 0.4794 0.5206 0.7181
Li 0.0233 0.9767 0.1250
Li 0.9767 0.0233 0.6250



Below is an optimized crystal structure of LiRe2Si, with properties calculated at the GGA-PBE level.

- Energy: -32.74 eV for the cell shown
- Space-group type: F-43m (216)
- Theoretical density: 12813 kg/m3

Unit cell a=4.2111 b=4.2111 c=4.2111 alpha=60.00 beta=60.00 gamma=60.00
Fractional coordinates of all 4 atoms:
Re 0.7500 0.7500 0.7500
Re 0.0000 0.0000 0.0000
Si 0.5000 0.5000 0.5000
Li 0.2500 0.2500 0.2500



Below is an optimized crystal structure of Li2Re3Si, with properties calculated at the GGA-PBE level.

- Energy: -87.04 eV for the cell shown
- Space-group type: Cmc2_1 (36)
- Theoretical density: 11901 kg/m3

Unit cell a=6.5477 b=6.5477 c=4.6438 alpha=90.00 beta=90.00 gamma=57.34
Fractional coordinates of all 12 atoms:
Li 0.3864 0.4049 0.1114
Li 0.4049 0.3864 0.6114
Li 0.5951 0.6136 0.1114
Li 0.6136 0.5951 0.6114
Re 0.1501 0.8499 0.9079
Re 0.6072 0.9632 0.3070
Re 0.8499 0.1501 0.4079
Re 0.0368 0.3928 0.3070
Re 0.9632 0.6072 0.8070
Re 0.3928 0.0368 0.8070
Si 0.7755 0.2245 0.9094
Si 0.2245 0.7755 0.4094



Below is an optimized crystal structure of LiReSiW, with properties calculated at the GGA-PBE level.

- Energy: -31.47 eV for the cell shown
- Space-group type: F-43m (216)
- Distance to the lowest polymorph of the same formula: 10.83 kcal/mol of atoms
- Theoretical density: 12714 kg/m3

Unit cell a=4.2138 b=4.2138 c=4.2138 alpha=60.00 beta=60.00 gamma=60.00
Fractional coordinates of all 4 atoms:
W 0.0000 0.0000 0.0000
Si 0.2500 0.2500 0.2500
Re 0.5000 0.5000 0.5000
Li 0.7500 0.7500 0.7500



Below is an optimized crystal structure of LiReSiW, with properties calculated at the GGA-PBE level.

- Energy: -33.35 eV for the cell shown
- Space-group type: F-43m (216)
- Distance to the lowest polymorph of the same formula: 0.00 kcal/mol of atoms
- Theoretical density: 12330 kg/m3

Unit cell a=4.2571 b=4.2571 c=4.2571 alpha=60.00 beta=60.00 gamma=60.00
Fractional coordinates of all 4 atoms:
Li 0.7500 0.7500 0.7500
W 0.0000 0.0000 0.0000
Si 0.5000 0.5000 0.5000
Re 0.2500 0.2500 0.2500



Below is an optimized crystal structure of LiSmRe, with properties calculated at the GGA-PBE level.

- Energy: -16.02 eV for the cell shown
- Space-group type: F-43m (216)
- Distance to the lowest polymorph of the same formula: 0.00 kcal/mol of atoms
- Theoretical density: 9416 kg/m3

Unit cell a=4.4083 b=4.4083 c=4.4083 alpha=60.00 beta=60.00 gamma=60.00
Fractional coordinates of all 3 atoms:
Li 0.0000 0.0000 0.0000
Sm 0.7500 0.7500 0.7500
Re 0.2500 0.2500 0.2500



Below is an optimized crystal structure of LiSmRe, with properties calculated at the GGA-PBE level.

- Energy: -14.81 eV for the cell shown
- Space-group type: F-43m (216)
- Distance to the lowest polymorph of the same formula: 9.25 kcal/mol of atoms
- Theoretical density: 8141 kg/m3

Unit cell a=4.6274 b=4.6274 c=4.6274 alpha=60.00 beta=60.00 gamma=60.00
Fractional coordinates of all 3 atoms:
Re 0.7500 0.7500 0.7500
Sm 0.0000 0.0000 0.0000
Li 0.2500 0.2500 0.2500



Below is an optimized crystal structure of LiRe3Sn5, with properties calculated at the GGA-PBE level.

- Energy: -56.74 eV for the cell shown
- Space-group type: P6/mmm (191)
- Theoretical density: 8982 kg/m3

Unit cell a=5.4169 b=5.4169 c=8.4327 alpha=90.00 beta=90.00 gamma=120.00
Fractional coordinates of all 9 atoms:
Sn 0.3333 0.6667 0.7942
Sn 0.6667 0.3333 0.2058
Sn 0.0000 0.0000 0.5000
Sn 0.3333 0.6667 0.2058
Sn 0.6667 0.3333 0.7942
Re 0.5000 0.0000 0.5000
Re 0.0000 0.5000 0.5000
Re 0.5000 0.5000 0.5000
Li 0.0000 0.0000 0.0000



Below is an optimized crystal structure of LiReSnW, with properties calculated at the GGA-PBE level.

- Energy: -30.96 eV for the cell shown
- Space-group type: F-43m (216)
- Distance to the lowest polymorph of the same formula: 0.00 kcal/mol of atoms
- Theoretical density: 13139 kg/m3

Unit cell a=4.4580 b=4.4580 c=4.4580 alpha=60.00 beta=60.00 gamma=60.00
Fractional coordinates of all 4 atoms:
Li 0.7500 0.7500 0.7500
Re 0.2500 0.2500 0.2500
W 0.0000 0.0000 0.0000
Sn 0.5000 0.5000 0.5000



Below is an optimized crystal structure of LiReSnW, with properties calculated at the GGA-PBE level.

- Energy: -28.03 eV for the cell shown
- Space-group type: F-43m (216)
- Distance to the lowest polymorph of the same formula: 16.84 kcal/mol of atoms
- Theoretical density: 12975 kg/m3

Unit cell a=4.4767 b=4.4767 c=4.4767 alpha=60.00 beta=60.00 gamma=60.00
Fractional coordinates of all 4 atoms:
Sn 0.2500 0.2500 0.2500
Re 0.5000 0.5000 0.5000
Li 0.7500 0.7500 0.7500
W 0.0000 0.0000 0.0000